# GGA-PBE MgPd3Pt2, relaxed
# Energy of formation from the pure elements (kJ per mole of atoms): -21.23
# Relative energy among the computed polymorphs (eV/atom): 0.1236
data_MgPd3Pt2
_chemical_formula_sum 'Mg2 Pd6 Pt4'
_cell_length_a 7.379
_cell_length_b 7.379
_cell_length_c 5.193
_cell_angle_alpha 90.00
_cell_angle_beta 90.00
_cell_angle_gamma 136.34
_space_group_name_H-M_alt 'P 1'
_space_group_IT_number 1
_space_group_name_Hall 'P 1'
loop_
_atom_site_label
_atom_site_fract_x
_atom_site_fract_y
_atom_site_fract_z
Mg1 0.154 0.846 0.750
Mg2 0.846 0.154 0.250
Pd1 0.073 0.423 0.750
Pd2 0.346 0.654 0.250
Pd3 0.423 0.073 0.250
Pd4 0.577 0.927 0.750
Pd5 0.654 0.346 0.750
Pd6 0.927 0.577 0.250
Pt1 0.251 0.251 0.000
Pt2 0.251 0.251 0.500
Pt3 0.749 0.749 0.000
Pt4 0.749 0.749 0.500